V4FeCoO12 | GGA+U | relaxed

Computed properties:
Electronic total energy, eV per cell: -131.24
Mass density, g/cm³: 3.3
Space group: P1
Magnetization, μB per formula unit: 7.000

extended XYZ file:
```
18
Lattice="-5.896 0.226 0.382 1.373 -0.251 -6.719 -2.014 -6.489 0.533" Properties=species:S:1:pos:R:3 pbc="T T T"
V -2.566 -5.188 -2.071
V -1.143 -2.647 -5.016
V -5.409 -3.856 -0.786
V -3.959 -1.324 -3.722
Fe -2.058 -6.125 -5.566
Co -4.477 -0.414 -0.261
O -5.377 -5.099 0.399
O -4.005 -0.259 -5.067
O -5.203 -2.327 -0.115
O -3.942 -0.513 -2.251
O -2.458 -6.278 -0.741
O -1.223 -1.412 -6.220
O -4.055 -4.190 -1.920
O -5.445 -2.342 -3.817
O -1.099 -4.151 -2.009
O -2.475 -2.333 -3.858
O -2.599 -5.992 -3.539
O -1.343 -4.178 -5.673
```